The following is a DFT calculation (GGA-PBE) of a relaxed structure of BeHg2Pt.

Lattice parameters (Å, degrees): 3.5164 3.7216 5.4365 90.00 97.93 90.00
Space group P2/m (No. 10)
Asymmetric unit:
Be  0.0000  0.0000  0.0000 x1
Hg  0.4052  0.5000  0.2366 x2
Pt  0.0000  0.0000  0.5000 x1

Summary:
Final energy: -2.32 eV/atom
E above lowest polymorph: 0.365 eV per atom
N(E_F): 0.9 states/eV per cell
ΔH_f (0 K): 0.273 eV per atom
Density: 14.26 g cm⁻³

---

The following is a DFT calculation (GGA-PBE) of a relaxed structure of BeHg2Pt.

Lattice parameters (Å, degrees): 2.9353 2.9353 8.5685 90.00 90.00 90.00
Space group P4mm (No. 99)
Asymmetric unit:
Be  0.0000  0.0000  0.0000 x1
Hg  0.0000  0.0000  0.5992 x1
Hg  0.5000  0.5000  0.2621 x1
Pt  0.5000  0.5000  0.8818 x1

Summary:
Final energy: -2.68 eV/atom
E above lowest polymorph: 0.000 eV per atom
N(E_F): 1.4 states/eV per cell
ΔH_f (0 K): -0.092 eV per atom
Density: 13.61 g cm⁻³

---

The following is a DFT calculation (GGA-PBE) of a relaxed structure of BeHg2Pt.

Lattice parameters (Å, degrees): 3.3688 3.6960 5.5934 90.00 90.00 90.00
Space group Pmmm (No. 47)
Asymmetric unit:
Be  0.0000  0.0000  0.0000 x1
Hg  0.5000  0.5000  0.2426 x2
Pt  0.0000  0.0000  0.5000 x1

Summary:
Final energy: -2.30 eV/atom
E above lowest polymorph: 0.383 eV per atom
N(E_F): 1.7 states/eV per cell
ΔH_f (0 K): 0.291 eV per atom
Density: 14.43 g cm⁻³

---

- Which of these has the lowest density?
  number 2